First-principles (GGA-PBE) data for crystalline In2Ga3Hg at its relaxed geometry, as listed in Alexandria.

abc: 4.0750 6.5860 11.3693
angles: 102.76 95.39 107.14
Space group P-1 (No. 2)
Unique sites:
In1 0.0448 0.4363 0.3105 x2
In2 0.2079 0.1387 0.6895 x2
Ga1 0.1424 0.7092 0.0979 x2
Ga2 0.2061 0.9585 0.9113 x2
Ga3 0.4638 0.3843 0.0986 x2
Hg1 0.4859 0.2219 0.4522 x2

Computed properties:
Its total moment is 0.000 μB/atom. The calculation puts the density of states at the Fermi level at 3.52 states/eV/cell. For the calculated volume, the calculation gives 23.35 A^3/atom. For the energy relative to the elements, the calculation gives 20 meV per atom.